Here is a geometry-optimized CrCo2Ni8 structure from Alexandria via LeMat-Bulk. Energies are from PBE-GGA.

Lattice parameters (Å, degrees): 4.325 6.123 6.123 58.01 76.49 76.49
Each line ends with the local moment (μB).
Fractional positions:
1 Ni 0.216 0.372 0.762  0.34
2 Ni 0.334 0.354 0.354  0.48
3 Ni 0.216 0.762 0.372  0.34
4 Ni 0.079 0.771 0.771  0.41
5 Ni 0.784 0.238 0.628  0.34
6 Ni 0.666 0.646 0.646  0.48
7 Ni 0.921 0.229 0.229  0.41
8 Ni 0.784 0.628 0.238  0.34
9 Cr 0.000 0.000 0.000  -0.74
10 Co 0.495 0.124 0.124  1.42
11 Co 0.505 0.876 0.876  1.42

Results
Distance to the lowest polymorph of the same formula ... 2.434 eV per formula unit
Total energy ... -5.9644 eV per atom
Calculated formation energy ... 0.41 eV/atom
D(E_F) ... 1.700 states/eV per atom
Total magnetic moment ... 5.1 μB/f.u.
SG ... C2/m